i.
Rb2Ga2Ir: relaxed, PBE-GGA. Values from VASP.

Geometry as Quantum ESPRESSO input:
```
&SYSTEM
  ibrav = 0, nat = 5, ntyp = 3
/
ATOMIC_SPECIES
Rb 85.47 Rb.upf
Ga 69.72 Ga.upf
Ir 192.22 Ir.upf
CELL_PARAMETERS angstrom
-2.061 2.061 7.643
2.061 -2.061 7.643
2.061 2.061 -7.643
ATOMIC_POSITIONS crystal
Rb 0.250 0.750 0.500
Rb 0.750 0.250 0.500
Ga 0.079 0.079 0.000
Ga 0.921 0.921 0.000
Ir 0.500 0.500 0.000
```


ii.
Rb2Ga2Ir: relaxed, PBE-GGA. Values from VASP.

Geometry as Quantum ESPRESSO input:
```
&SYSTEM
  ibrav = 0, nat = 10, ntyp = 3
/
ATOMIC_SPECIES
Rb 85.47 Rb.upf
Ga 69.72 Ga.upf
Ir 192.22 Ir.upf
CELL_PARAMETERS angstrom
6.920 0.000 0.000
0.000 6.920 0.000
0.000 0.000 6.342
ATOMIC_POSITIONS crystal
Rb 0.174 0.326 0.000
Rb 0.326 0.826 0.000
Rb 0.674 0.174 0.000
Rb 0.826 0.674 0.000
Ga 0.226 0.726 0.500
Ga 0.274 0.226 0.500
Ga 0.726 0.774 0.500
Ga 0.774 0.274 0.500
Ir 0.000 0.000 0.500
Ir 0.500 0.500 0.500
```


Stability, lowest: i


i.
GaRe2Ir2: relaxed, PBE-GGA. Values from VASP.

Geometry as Quantum ESPRESSO input:
```
&SYSTEM
  ibrav = 0, nat = 10, ntyp = 3
/
ATOMIC_SPECIES
Ga 69.72 Ga.upf
Re 186.21 Re.upf
Ir 192.22 Ir.upf
CELL_PARAMETERS angstrom
7.710 0.000 0.000
0.000 7.710 0.000
0.000 0.000 2.739
ATOMIC_POSITIONS crystal
Ga 0.000 0.000 0.000
Ga 0.500 0.500 0.000
Re 0.124 0.376 0.000
Re 0.376 0.876 0.000
Re 0.624 0.124 0.000
Re 0.876 0.624 0.000
Ir 0.166 0.666 0.500
Ir 0.334 0.166 0.500
Ir 0.666 0.834 0.500
Ir 0.834 0.334 0.500
```


ii.
GaRe2Ir2: relaxed, PBE-GGA. Values from VASP.

Geometry as Quantum ESPRESSO input:
```
&SYSTEM
  ibrav = 0, nat = 5, ntyp = 3
/
ATOMIC_SPECIES
Ga 69.72 Ga.upf
Re 186.21 Re.upf
Ir 192.22 Ir.upf
CELL_PARAMETERS angstrom
-1.900 1.900 5.924
1.900 -1.900 5.924
1.900 1.900 -5.924
ATOMIC_POSITIONS crystal
Ga 0.000 0.000 0.000
Re 0.398 0.398 0.000
Re 0.602 0.602 0.000
Ir 0.250 0.750 0.500
Ir 0.750 0.250 0.500
```


Stability, lowest: ii


i.
Ga2ReIr: relaxed, PBE-GGA. Values from VASP.

Geometry as Quantum ESPRESSO input:
```
&SYSTEM
  ibrav = 0, nat = 4, ntyp = 3
/
ATOMIC_SPECIES
Ga 69.72 Ga.upf
Re 186.21 Re.upf
Ir 192.22 Ir.upf
CELL_PARAMETERS angstrom
0.000 3.068 3.068
3.068 0.000 3.068
3.068 3.068 0.000
ATOMIC_POSITIONS crystal
Ga 0.250 0.250 0.250
Ga 0.750 0.750 0.750
Re 0.000 0.000 0.000
Ir 0.500 0.500 0.500
```


ii.
Ga2ReIr: relaxed, PBE-GGA. Values from VASP.

Geometry as Quantum ESPRESSO input:
```
&SYSTEM
  ibrav = 0, nat = 8, ntyp = 3
/
ATOMIC_SPECIES
Ga 69.72 Ga.upf
Re 186.21 Re.upf
Ir 192.22 Ir.upf
CELL_PARAMETERS angstrom
-3.510 3.510 2.635
3.510 -3.510 2.635
3.510 3.510 -2.635
ATOMIC_POSITIONS crystal
Ga 0.113 0.125 0.488
Ga 0.375 0.887 0.012
Ga 0.637 0.625 0.512
Ga 0.875 0.363 0.988
Re 0.250 0.750 0.500
Re 0.500 0.500 0.000
Ir 0.000 0.000 0.000
Ir 0.750 0.250 0.500
```


Stability, lowest: ii


i.
Ga2IrRh2: relaxed, PBE-GGA. Values from VASP.

Geometry as Quantum ESPRESSO input:
```
&SYSTEM
  ibrav = 0, nat = 5, ntyp = 3
/
ATOMIC_SPECIES
Ga 69.72 Ga.upf
Ir 192.22 Ir.upf
Rh 102.91 Rh.upf
CELL_PARAMETERS angstrom
1.476 -8.198 0.000
1.476 8.198 0.000
0.000 0.000 3.048
ATOMIC_POSITIONS crystal
Ga 0.098 0.902 0.000
Ga 0.902 0.098 0.000
Ir 0.500 0.500 0.500
Rh 0.318 0.682 0.500
Rh 0.682 0.318 0.500
```


ii.
Ga2IrRh2: relaxed, PBE-GGA. Values from VASP.

Geometry as Quantum ESPRESSO input:
```
&SYSTEM
  ibrav = 0, nat = 10, ntyp = 3
/
ATOMIC_SPECIES
Ga 69.72 Ga.upf
Ir 192.22 Ir.upf
Rh 102.91 Rh.upf
CELL_PARAMETERS angstrom
7.075 0.000 0.000
0.000 7.075 0.000
0.000 0.000 2.893
ATOMIC_POSITIONS crystal
Ga 0.142 0.358 0.000
Ga 0.358 0.858 0.000
Ga 0.642 0.142 0.000
Ga 0.858 0.642 0.000
Ir 0.000 0.000 0.000
Ir 0.500 0.500 0.000
Rh 0.157 0.657 0.500
Rh 0.343 0.157 0.500
Rh 0.657 0.843 0.500
Rh 0.843 0.343 0.500
```


Stability, lowest: ii


i.
Ga3IrRh: relaxed, PBE-GGA. Values from VASP.

Geometry as Quantum ESPRESSO input:
```
&SYSTEM
  ibrav = 0, nat = 20, ntyp = 3
/
ATOMIC_SPECIES
Ga 69.72 Ga.upf
Ir 192.22 Ir.upf
Rh 102.91 Rh.upf
CELL_PARAMETERS angstrom
-2.124 5.904 6.401
2.124 -5.904 6.401
2.124 5.904 -6.401
ATOMIC_POSITIONS crystal
Ga 0.040 0.660 0.380
Ga 0.123 0.004 0.118
Ga 0.221 0.340 0.880
Ga 0.295 0.662 0.632
Ga 0.386 0.004 0.382
Ga 0.470 0.338 0.132
Ga 0.530 0.662 0.868
Ga 0.614 0.996 0.618
Ga 0.705 0.338 0.368
Ga 0.779 0.660 0.120
Ga 0.877 0.996 0.882
Ga 0.960 0.340 0.620
Ir 0.174 0.170 0.004
Ir 0.334 0.830 0.504
Ir 0.666 0.170 0.496
Ir 0.826 0.830 0.996
Rh 0.084 0.834 0.250
Rh 0.248 0.498 0.750
Rh 0.752 0.502 0.250
Rh 0.916 0.166 0.750
```


ii.
Ga3IrRh: relaxed, PBE-GGA. Values from VASP.

Geometry as Quantum ESPRESSO input:
```
&SYSTEM
  ibrav = 0, nat = 20, ntyp = 3
/
ATOMIC_SPECIES
Ga 69.72 Ga.upf
Ir 192.22 Ir.upf
Rh 102.91 Rh.upf
CELL_PARAMETERS angstrom
5.813 0.000 0.000
0.000 7.685 0.000
-5.516 0.000 6.730
ATOMIC_POSITIONS crystal
Ga 0.022 0.127 0.311
Ga 0.022 0.373 0.811
Ga 0.373 0.646 0.058
Ga 0.373 0.854 0.558
Ga 0.374 0.103 0.058
Ga 0.374 0.397 0.558
Ga 0.626 0.603 0.442
Ga 0.626 0.897 0.942
Ga 0.627 0.146 0.442
Ga 0.627 0.354 0.942
Ga 0.978 0.627 0.189
Ga 0.978 0.873 0.689
Ir 0.212 0.600 0.707
Ir 0.212 0.900 0.207
Ir 0.788 0.100 0.793
Ir 0.788 0.400 0.293
Rh 0.202 0.147 0.689
Rh 0.202 0.353 0.189
Rh 0.798 0.647 0.811
Rh 0.798 0.853 0.311
```


iii.
Ga3IrRh: relaxed, PBE-GGA. Values from VASP.

Geometry as Quantum ESPRESSO input:
```
&SYSTEM
  ibrav = 0, nat = 5, ntyp = 3
/
ATOMIC_SPECIES
Ga 69.72 Ga.upf
Ir 192.22 Ir.upf
Rh 102.91 Rh.upf
CELL_PARAMETERS angstrom
4.705 0.000 0.000
0.000 4.705 0.000
0.000 0.000 4.705
ATOMIC_POSITIONS crystal
Ga 0.000 0.000 0.500
Ga 0.000 0.500 0.000
Ga 0.500 0.000 0.000
Ir 0.000 0.000 0.000
Rh 0.500 0.500 0.500
```


Stability, lowest: iii


i.
GaIrRh: relaxed, PBE-GGA. Values from VASP.

Geometry as Quantum ESPRESSO input:
```
&SYSTEM
  ibrav = 0, nat = 6, ntyp = 3
/
ATOMIC_SPECIES
Ga 69.72 Ga.upf
Ir 192.22 Ir.upf
Rh 102.91 Rh.upf
CELL_PARAMETERS angstrom
-1.447 1.447 10.731
1.447 -1.447 10.731
1.447 1.447 -10.731
ATOMIC_POSITIONS crystal
Ga 0.128 0.128 0.000
Ga 0.872 0.872 0.000
Ir 0.294 0.294 0.000
Ir 0.706 0.706 0.000
Rh 0.442 0.442 0.000
Rh 0.558 0.558 0.000
```


ii.
GaIrRh: relaxed, PBE-GGA. Values from VASP.

Geometry as Quantum ESPRESSO input:
```
&SYSTEM
  ibrav = 0, nat = 3, ntyp = 3
/
ATOMIC_SPECIES
Ga 69.72 Ga.upf
Ir 192.22 Ir.upf
Rh 102.91 Rh.upf
CELL_PARAMETERS angstrom
-1.419 1.419 5.327
1.419 -1.419 5.327
1.419 1.419 -5.327
ATOMIC_POSITIONS crystal
Ga 0.000 0.000 0.000
Ir 0.339 0.339 0.000
Rh 0.660 0.660 0.000
```


Stability, lowest: i


i.
Ga6Ir2Rh: relaxed, PBE-GGA. Values from VASP.

Geometry as Quantum ESPRESSO input:
```
&SYSTEM
  ibrav = 0, nat = 18, ntyp = 3
/
ATOMIC_SPECIES
Ga 69.72 Ga.upf
Ir 192.22 Ir.upf
Rh 102.91 Rh.upf
CELL_PARAMETERS angstrom
5.237 0.000 0.000
0.000 6.958 0.000
-4.532 0.000 7.933
ATOMIC_POSITIONS crystal
Ga 0.071 0.157 0.442
Ga 0.071 0.343 0.942
Ga 0.346 0.683 0.442
Ga 0.346 0.817 0.942
Ga 0.404 0.018 0.292
Ga 0.404 0.482 0.792
Ga 0.596 0.518 0.208
Ga 0.596 0.982 0.708
Ga 0.654 0.183 0.058
Ga 0.654 0.317 0.558
Ga 0.929 0.657 0.058
Ga 0.929 0.843 0.558
Ir 0.188 0.129 0.755
Ir 0.188 0.371 0.255
Ir 0.812 0.629 0.745
Ir 0.812 0.871 0.245
Rh 0.000 0.000 0.000
Rh 0.000 0.500 0.500
```


ii.
Ga6Ir2Rh: relaxed, PBE-GGA. Values from VASP.

Geometry as Quantum ESPRESSO input:
```
&SYSTEM
  ibrav = 0, nat = 9, ntyp = 3
/
ATOMIC_SPECIES
Ga 69.72 Ga.upf
Ir 192.22 Ir.upf
Rh 102.91 Rh.upf
CELL_PARAMETERS angstrom
4.191 0.000 0.000
-2.096 3.630 0.000
0.000 0.000 10.298
ATOMIC_POSITIONS crystal
Ga 0.000 0.000 0.249
Ga 0.000 0.000 0.751
Ga 0.333 0.667 0.418
Ga 0.333 0.667 0.917
Ga 0.667 0.333 0.083
Ga 0.667 0.333 0.582
Ir 0.333 0.667 0.668
Ir 0.667 0.333 0.332
Rh 0.000 0.000 0.000
```


Stability, lowest: i


i.
Ga4Ir2Rh: relaxed, PBE-GGA. Values from VASP.

Geometry as Quantum ESPRESSO input:
```
&SYSTEM
  ibrav = 0, nat = 7, ntyp = 3
/
ATOMIC_SPECIES
Ga 69.72 Ga.upf
Ir 192.22 Ir.upf
Rh 102.91 Rh.upf
CELL_PARAMETERS angstrom
6.605 -1.482 0.000
6.605 1.482 0.000
-2.876 0.000 5.693
ATOMIC_POSITIONS crystal
Ga 0.083 0.083 0.444
Ga 0.356 0.356 0.064
Ga 0.644 0.644 0.936
Ga 0.917 0.917 0.556
Ir 0.248 0.248 0.312
Ir 0.752 0.752 0.688
Rh 0.000 0.000 0.000
```


ii.
Ga4Ir2Rh: relaxed, PBE-GGA. Values from VASP.

Geometry as Quantum ESPRESSO input:
```
&SYSTEM
  ibrav = 0, nat = 7, ntyp = 3
/
ATOMIC_SPECIES
Ga 69.72 Ga.upf
Ir 192.22 Ir.upf
Rh 102.91 Rh.upf
CELL_PARAMETERS angstrom
-3.053 3.053 2.948
3.053 -3.053 2.948
3.053 3.053 -2.948
ATOMIC_POSITIONS crystal
Ga 0.000 0.000 0.500
Ga 0.000 0.500 0.000
Ga 0.500 0.000 0.000
Ga 0.500 0.500 0.500
Ir 0.000 0.500 0.500
Ir 0.500 0.000 0.500
Rh 0.000 0.000 0.000
```


Stability, lowest: i


i.
Ga2IrRh: relaxed, PBE-GGA. Values from VASP.

Geometry as Quantum ESPRESSO input:
```
&SYSTEM
  ibrav = 0, nat = 4, ntyp = 3
/
ATOMIC_SPECIES
Ga 69.72 Ga.upf
Ir 192.22 Ir.upf
Rh 102.91 Rh.upf
CELL_PARAMETERS angstrom
4.332 0.000 0.000
0.000 4.332 0.000
0.000 0.000 3.019
ATOMIC_POSITIONS crystal
Ga 0.000 0.500 0.000
Ga 0.500 0.000 0.000
Ir 0.000 0.000 0.500
Rh 0.500 0.500 0.500
```


ii.
Ga2IrRh: relaxed, PBE-GGA. Values from VASP.

Geometry as Quantum ESPRESSO input:
```
&SYSTEM
  ibrav = 0, nat = 8, ntyp = 3
/
ATOMIC_SPECIES
Ga 69.72 Ga.upf
Ir 192.22 Ir.upf
Rh 102.91 Rh.upf
CELL_PARAMETERS angstrom
-1.987 1.987 8.375
1.987 -1.987 8.375
1.987 1.987 -8.375
ATOMIC_POSITIONS crystal
Ga 0.123 0.625 0.998
Ga 0.375 0.373 0.498
Ga 0.627 0.125 0.002
Ga 0.875 0.877 0.502
Ir 0.000 0.000 0.000
Ir 0.750 0.250 0.500
Rh 0.250 0.750 0.500
Rh 0.500 0.500 0.000
```


iii.
Ga2IrRh: relaxed, PBE-GGA. Values from VASP.

Geometry as Quantum ESPRESSO input:
```
&SYSTEM
  ibrav = 0, nat = 4, ntyp = 3
/
ATOMIC_SPECIES
Ga 69.72 Ga.upf
Ir 192.22 Ir.upf
Rh 102.91 Rh.upf
CELL_PARAMETERS angstrom
1.929 1.113 5.087
-1.929 1.113 5.087
0.000 -2.227 5.087
ATOMIC_POSITIONS crystal
Ga 0.000 0.000 0.000
Ga 0.176 0.176 0.176
Ir 0.592 0.592 0.592
Rh 0.414 0.414 0.414
```


Stability, lowest: ii


i.
GaIr3Rh: relaxed, PBE-GGA. Values from VASP.

Geometry as Quantum ESPRESSO input:
```
&SYSTEM
  ibrav = 0, nat = 5, ntyp = 3
/
ATOMIC_SPECIES
Ga 69.72 Ga.upf
Ir 192.22 Ir.upf
Rh 102.91 Rh.upf
CELL_PARAMETERS angstrom
4.497 0.000 0.000
0.000 4.497 0.000
0.000 0.000 4.497
ATOMIC_POSITIONS crystal
Ga 0.000 0.000 0.000
Ir 0.000 0.000 0.500
Ir 0.000 0.500 0.000
Ir 0.500 0.000 0.000
Rh 0.500 0.500 0.500
```


ii.
GaIr3Rh: relaxed, PBE-GGA. Values from VASP.

Geometry as Quantum ESPRESSO input:
```
&SYSTEM
  ibrav = 0, nat = 5, ntyp = 3
/
ATOMIC_SPECIES
Ga 69.72 Ga.upf
Ir 192.22 Ir.upf
Rh 102.91 Rh.upf
CELL_PARAMETERS angstrom
4.727 0.000 0.000
0.000 4.727 0.000
0.000 0.000 4.727
ATOMIC_POSITIONS crystal
Ga 0.000 0.000 0.000
Ir 0.000 0.500 0.500
Ir 0.500 0.000 0.500
Ir 0.500 0.500 0.000
Rh 0.500 0.500 0.500
```


Stability, lowest: ii


i.
ZrGaIrRh: relaxed, PBE-GGA. Values from VASP.

Geometry as Quantum ESPRESSO input:
```
&SYSTEM
  ibrav = 0, nat = 4, ntyp = 4
/
ATOMIC_SPECIES
Zr 91.22 Zr.upf
Ga 69.72 Ga.upf
Ir 192.22 Ir.upf
Rh 102.91 Rh.upf
CELL_PARAMETERS angstrom
0.000 3.186 3.186
3.186 0.000 3.186
3.186 3.186 0.000
ATOMIC_POSITIONS crystal
Zr 0.000 0.000 0.000
Ga 0.500 0.500 0.500
Ir 0.750 0.750 0.750
Rh 0.250 0.250 0.250
```


ii.
ZrGaIrRh: relaxed, PBE-GGA. Values from VASP.

Geometry as Quantum ESPRESSO input:
```
&SYSTEM
  ibrav = 0, nat = 4, ntyp = 4
/
ATOMIC_SPECIES
Zr 91.22 Zr.upf
Ga 69.72 Ga.upf
Ir 192.22 Ir.upf
Rh 102.91 Rh.upf
CELL_PARAMETERS angstrom
-2.122 2.122 3.569
2.122 -2.122 3.569
2.122 2.122 -3.569
ATOMIC_POSITIONS crystal
Zr 0.000 0.000 0.000
Ga 0.500 0.500 0.000
Ir 0.750 0.250 0.500
Rh 0.250 0.750 0.500
```


Stability, lowest: i